! TbTm2Pd4 (PBE, optimized geometry); values from VASP
! size of the total moment: 0.00 μB/cell
! ΔE_f: -0.622 eV per atom
! theoretical density: 9.89 g/cm³
&SYSTEM
  ibrav = 0, nat = 7, ntyp = 3
/
ATOMIC_SPECIES
Pd 106.42 Pd.upf
Tm 168.93 Tm.upf
Tb 158.93 Tb.upf
CELL_PARAMETERS angstrom
-3.9991 3.2990 -2.7508
2.8511 -3.0682 -4.1109
-2.8664 -3.3206 3.8986
ATOMIC_POSITIONS crystal
Pd 0.5000 0.5000 0.5000
Pd 0.0000 0.5000 0.0000
Pd 0.5000 0.0000 0.0000
Pd 0.0000 0.0000 0.5000
Tm 0.5000 0.5000 0.0000
Tm 0.5000 0.0000 0.5000
Tb 0.0000 0.0000 0.0000

=====

! Tb4TmPd4 (PBE, optimized geometry); values from VASP
! size of the total moment: 0.00 μB/cell
! ΔE_f: -0.671 eV per atom
! theoretical density: 8.85 g/cm³
&SYSTEM
  ibrav = 0, nat = 18, ntyp = 3
/
ATOMIC_SPECIES
Tb 158.93 Tb.upf
Tm 168.93 Tm.upf
Pd 106.42 Pd.upf
CELL_PARAMETERS angstrom
-1.6355 5.0134 -2.4674
-8.5256 -2.5140 0.5432
-0.5977 3.7657 8.0475
ATOMIC_POSITIONS crystal
Tb 0.0916 0.1856 0.5881
Tb 0.5916 0.9119 0.6856
Tb 0.0916 0.8144 0.4119
Tb 0.4084 0.6856 0.0881
Tb 0.9084 0.5881 0.8144
Tb 0.5916 0.0881 0.3144
Tb 0.9084 0.4119 0.1856
Tb 0.4084 0.3144 0.9119
Tm 0.5000 0.5000 0.5000
Tm 0.0000 0.0000 0.0000
Pd 0.9035 0.7223 0.1199
Pd 0.9035 0.2777 0.8801
Pd 0.5965 0.7777 0.3801
Pd 0.0965 0.1199 0.2777
Pd 0.0965 0.8801 0.7223
Pd 0.5965 0.2223 0.6199
Pd 0.4035 0.6199 0.7777
Pd 0.4035 0.3801 0.2223

=====

! Tb2Tm3Pd4 (PBE, optimized geometry); values from VASP
! size of the total moment: 0.00 μB/cell
! energy relative to the lowest polymorph listed for this composition: 114.0 meV per atom
! ΔE_f: -0.725 eV per atom
! theoretical density: 9.88 g/cm³
&SYSTEM
  ibrav = 0, nat = 18, ntyp = 3
/
ATOMIC_SPECIES
Tb 158.93 Tb.upf
Tm 168.93 Tm.upf
Pd 106.42 Pd.upf
CELL_PARAMETERS angstrom
-1.8516 -6.0779 1.9098
2.4295 1.3943 6.7929
-6.8509 6.0855 1.2011
ATOMIC_POSITIONS crystal
Tb 0.4049 0.0845 0.8099
Tb 0.9049 0.4155 0.8099
Tb 0.5951 0.9155 0.1901
Tb 0.0951 0.5845 0.1901
Tm 0.5000 0.5000 0.0000
Tm 0.0175 0.7500 0.5349
Tm 0.4825 0.2500 0.4651
Tm 0.9825 0.2500 0.4651
Tm 0.0000 0.0000 0.0000
Tm 0.5175 0.7500 0.5349
Pd 0.1826 0.7500 0.8651
Pd 0.3330 0.4626 0.6660
Pd 0.8330 0.0374 0.6660
Pd 0.6670 0.5374 0.3340
Pd 0.6826 0.7500 0.8651
Pd 0.3174 0.2500 0.1349
Pd 0.1670 0.9626 0.3340
Pd 0.8174 0.2500 0.1349

=====

! Tb2TmPd2 (PBE, optimized geometry); values from VASP
! size of the total moment: 0.00 μB/cell
! ΔE_f: -0.740 eV per atom
! theoretical density: 9.69 g/cm³
&SYSTEM
  ibrav = 0, nat = 10, ntyp = 3
/
ATOMIC_SPECIES
Pd 106.42 Pd.upf
Tb 158.93 Tb.upf
Tm 168.93 Tm.upf
CELL_PARAMETERS angstrom
-1.2942 0.6759 3.7000
-6.0025 -4.7717 -1.2280
4.2300 -5.9830 2.5726
ATOMIC_POSITIONS crystal
Pd 0.0000 0.6330 0.1330
Pd 0.0000 0.3670 0.8670
Pd 0.0000 0.8670 0.6330
Pd 0.0000 0.1330 0.3670
Tb 0.5000 0.8336 0.3336
Tb 0.5000 0.6664 0.8336
Tb 0.5000 0.1664 0.6664
Tb 0.5000 0.3336 0.1664
Tm 0.0000 0.5000 0.5000
Tm 0.0000 0.0000 0.0000

=====

Q: Which DOS(E_F) values were calculated for the entries above? A: 0.568, 0.796, 0.863, 0.783, in states/eV per atom.